Record 1
Computed, not measured: YAs3Pd after structural relaxation at the PBEsol level of DFT.

a = 4.818 Å, b = 4.818 Å, c = 4.818 Å
α = 90.00°, β = 90.00°, γ = 90.00°
Fractional coordinates of all 5 atoms:
Y: 0.000 0.000 0.000
As: 0.000 0.500 0.500
As: 0.500 0.000 0.500
As: 0.500 0.500 0.000
Pd: 0.500 0.500 0.500

Calculated values
Final energy in eV/atom: -5.72
SG: Pm-3m (221)
Formation energy from the elements in eV/atom: -0.10
V in Å³ per cell: 111.8

***

Record 2
Computed, not measured: Be4ReBr after structural relaxation at the PBEsol level of DFT.

a = 4.484 Å, b = 4.484 Å, c = 4.484 Å
α = 60.00°, β = 60.00°, γ = 60.00°
Fractional coordinates of all 6 atoms:
Be: 0.121 0.121 0.121
Be: 0.121 0.121 0.636
Be: 0.121 0.636 0.121
Be: 0.636 0.121 0.121
Re: 0.750 0.750 0.750
Br: 0.500 0.500 0.500

Calculated values
Final energy in eV/atom: -4.78
SG: F-43m (216)
V in Å³ per cell: 63.8
Formation energy without anion corrections in eV/atom: 0.423

***

Record 3
Computed, not measured: Li2LaHg2 after structural relaxation at the PBEsol level of DFT.

a = 7.442 Å, b = 7.442 Å, c = 7.442 Å
α = 148.22°, β = 148.22°, γ = 45.56°
Fractional coordinates of all 5 atoms:
Li: 0.250 0.750 0.500
Li: 0.750 0.250 0.500
La: 0.000 0.000 0.000
Hg: 0.386 0.386 0.000
Hg: 0.614 0.614 0.000

Calculated values
Final energy in eV/atom: -2.49
ΔE to the lowest computed polymorph in eV/atom: 0.000
SG: I4/mmm (139)
Formation energy from the elements in eV/atom: -0.41
V in Å³ per cell: 114.0

***

Record 4
Computed, not measured: Y3AgMo after structural relaxation at the PBEsol level of DFT.

a = 5.339 Å, b = 5.339 Å, c = 5.339 Å
α = 90.00°, β = 90.00°, γ = 90.00°
Fractional coordinates of all 5 atoms:
Y: 0.000 0.000 0.500
Y: 0.000 0.500 0.000
Y: 0.500 0.000 0.000
Ag: 0.000 0.000 0.000
Mo: 0.500 0.500 0.500

Calculated values
Final energy in eV/atom: -6.10
SG: Pm-3m (221)
Formation energy from the elements in eV/atom: 1.01
V in Å³ per cell: 152.2

***

Record 5
Computed, not measured: Ba2ZrIn after structural relaxation at the PBEsol level of DFT.

a = 5.643 Å, b = 5.643 Å, c = 5.643 Å
α = 119.82°, β = 119.82°, γ = 90.31°
Fractional coordinates of all 4 atoms:
Ba: 0.000 0.000 0.000
Ba: 0.750 0.250 0.500
Zr: 0.250 0.750 0.500
In: 0.500 0.500 0.000

Calculated values
Final energy in eV/atom: -3.82
SG: I-4m2 (119)
Formation energy from the elements in eV/atom: 0.27
V in Å³ per cell: 127.4

***

Record 6
Computed, not measured: BeHO3 after structural relaxation at the PBEsol level of DFT.

a = 3.412 Å, b = 3.412 Å, c = 3.412 Å
α = 90.00°, β = 90.00°, γ = 90.00°
Fractional coordinates of all 5 atoms:
Be: 0.000 0.000 0.000
H: 0.500 0.500 0.500
O: 0.000 0.000 0.500
O: 0.000 0.500 0.000
O: 0.500 0.000 0.000

Calculated values
Final energy in eV/atom: -4.36
SG: Pm-3m (221)
V in Å³ per cell: 39.7